# 1
# K2RhAu | Alexandria | SCAN | single point on PBEsol structure
data_K2RhAu
_chemical_formula_sum 'K4 Rh2 Au2'
_cell_length_a 4.1242
_cell_length_b 4.1242
_cell_length_c 10.0913
_cell_angle_alpha 90.00
_cell_angle_beta 90.00
_cell_angle_gamma 90.00
_space_group_name_H-M_alt 'I 4/m m m'
_space_group_IT_number 139
_space_group_name_Hall '-I 4 2'
loop_
_atom_site_label
_atom_site_type_symbol
_atom_site_fract_x
_atom_site_fract_y
_atom_site_fract_z
_atom_site_occupancy
K1 K 0.0000 0.5000 0.2500 1
Rh1 Rh 0.0000 0.0000 0.0000 1
Au1 Au 0.0000 0.0000 0.5000 1
# Crystal system = tetragonal
# Uncorrected energy = -118.25 eV/f.u.

# 2
# NdSi2Ru2 | Alexandria | SCAN | single point on PBEsol structure
data_NdSi2Ru2
_chemical_formula_sum 'Nd2 Si4 Ru4'
_cell_length_a 4.1670
_cell_length_b 4.1670
_cell_length_c 9.7066
_cell_angle_alpha 90.00
_cell_angle_beta 90.00
_cell_angle_gamma 90.00
_space_group_name_H-M_alt 'I 4/m m m'
_space_group_IT_number 139
_space_group_name_Hall '-I 4 2'
loop_
_atom_site_label
_atom_site_type_symbol
_atom_site_fract_x
_atom_site_fract_y
_atom_site_fract_z
_atom_site_occupancy
Nd1 Nd 0.0000 0.0000 0.0000 1
Si1 Si 0.0000 0.0000 0.3657 1
Ru1 Ru 0.0000 0.5000 0.2500 1
# Crystal system = tetragonal
# Formation energy (no corrections) = -93.5 kJ per mole of atoms

# 3
# TlAs2HS | Alexandria | SCAN | single point on PBEsol structure
data_TlAs2HS
_chemical_formula_sum 'Tl1 As2 H1 S1'
_cell_length_a 5.3132
_cell_length_b 5.3132
_cell_length_c 3.4956
_cell_angle_alpha 90.00
_cell_angle_beta 90.00
_cell_angle_gamma 90.00
_space_group_name_H-M_alt 'P 4/m m m'
_space_group_IT_number 123
_space_group_name_Hall '-P 4 2'
loop_
_atom_site_label
_atom_site_type_symbol
_atom_site_fract_x
_atom_site_fract_y
_atom_site_fract_z
_atom_site_occupancy
Tl1 Tl 0.0000 0.0000 0.0000 1
As1 As 0.0000 0.5000 0.0000 1
H1 H 0.0000 0.0000 0.5000 1
S1 S 0.5000 0.5000 0.5000 1
# Crystal system = tetragonal
# Uncorrected energy = -121.35 eV/f.u.

# 4
# NiAg2Sn3S8 | Alexandria | SCAN | single point on PBEsol structure
data_NiAg2Sn3S8
_chemical_formula_sum 'Ni3 Ag6 Sn9 S24'
_cell_length_a 7.4875
_cell_length_b 7.4875
_cell_length_c 17.8444
_cell_angle_alpha 90.00
_cell_angle_beta 90.00
_cell_angle_gamma 120.00
_space_group_name_H-M_alt 'R -3 m'
_space_group_IT_number 166
_space_group_name_Hall '-R 3 2"'
loop_
_atom_site_label
_atom_site_type_symbol
_atom_site_fract_x
_atom_site_fract_y
_atom_site_fract_z
_atom_site_occupancy
Ni1 Ni 0.0000 0.0000 0.0000 1
Ag1 Ag 0.0000 0.0000 0.3913 1
Sn1 Sn 0.0000 0.5000 0.5000 1
S1 S 0.0000 0.0000 0.2482 1
S2 S 0.0380 0.5190 0.7472 1
# Crystal system = trigonal
# Formation energy (no corrections) = -39.5 kJ per mole of atoms

# 5
# CaAl2Ni | Alexandria | SCAN | single point on PBEsol structure
data_CaAl2Ni
_chemical_formula_sum 'Ca1 Al2 Ni1'
_cell_length_a 3.1423
_cell_length_b 3.1423
_cell_length_c 7.0902
_cell_angle_alpha 90.00
_cell_angle_beta 90.00
_cell_angle_gamma 90.00
_space_group_name_H-M_alt 'P 4 m m'
_space_group_IT_number 99
loop_
_space_group_symop_operation_xyz
'x,y,z'
'-y,x,z'
'-x,-y,z'
'y,-x,z'
'-x,y,z'
'y,x,z'
'x,-y,z'
'-y,-x,z'
loop_
_atom_site_label
_atom_site_type_symbol
_atom_site_fract_x
_atom_site_fract_y
_atom_site_fract_z
_atom_site_occupancy
Ca1 Ca 0.0000 0.0000 0.0000 1
Al1 Al 0.0000 0.0000 0.4340 1
Al2 Al 0.5000 0.5000 0.6736 1
Ni1 Ni 0.5000 0.5000 0.2992 1
# Crystal system = tetragonal
# Uncorrected energy = -42.38 eV/f.u.

# 6
# Hf3ZnCo | Alexandria | SCAN | single point on PBEsol structure
data_Hf3ZnCo
_chemical_formula_sum 'Hf3 Zn1 Co1'
_cell_length_a 4.6846
_cell_length_b 4.6846
_cell_length_c 4.6846
_cell_angle_alpha 90.00
_cell_angle_beta 90.00
_cell_angle_gamma 90.00
_space_group_name_H-M_alt 'P m -3 m'
_space_group_IT_number 221
_space_group_name_Hall '-P 4 2 3'
loop_
_atom_site_label
_atom_site_type_symbol
_atom_site_fract_x
_atom_site_fract_y
_atom_site_fract_z
_atom_site_occupancy
Hf1 Hf 0.0000 0.0000 0.5000 1
Zn1 Zn 0.5000 0.5000 0.5000 1
Co1 Co 0.0000 0.0000 0.0000 1
# Crystal system = cubic
# Uncorrected energy = -217.62 eV/f.u.

# 7
# P2IrRu | Alexandria | SCAN | single point on PBEsol structure
data_P2IrRu
_chemical_formula_sum 'P4 Ir2 Ru2'
_cell_length_a 2.8926
_cell_length_b 4.0838
_cell_length_c 9.1580
_cell_angle_alpha 90.00
_cell_angle_beta 90.00
_cell_angle_gamma 90.00
_space_group_name_H-M_alt 'I m m 2'
_space_group_IT_number 44
loop_
_space_group_symop_operation_xyz
'x,y,z'
'-x,-y,z'
'-x,y,z'
'x,-y,z'
'x+1/2,y+1/2,z+1/2'
'-x+1/2,-y+1/2,z+1/2'
'-x+1/2,y+1/2,z+1/2'
'x+1/2,-y+1/2,z+1/2'
loop_
_atom_site_label
_atom_site_type_symbol
_atom_site_fract_x
_atom_site_fract_y
_atom_site_fract_z
_atom_site_occupancy
P1 P 0.0000 0.0000 0.0000 1
P2 P 0.0000 0.5000 0.2236 1
Ir1 Ir 0.0000 0.0000 0.5035 1
Ru1 Ru 0.0000 0.5000 0.7108 1
# Crystal system = orthorhombic
# Relative energy among the computed polymorphs = 0.00 eV per formula unit

# 8
# Fe2OsSe | Alexandria | SCAN | single point on PBEsol structure
data_Fe2OsSe
_chemical_formula_sum 'Fe2 Os1 Se1'
_cell_length_a 2.8424
_cell_length_b 4.1493
_cell_length_c 4.3850
_cell_angle_alpha 90.00
_cell_angle_beta 90.00
_cell_angle_gamma 90.00
_space_group_name_H-M_alt 'P m m 2'
_space_group_IT_number 25
loop_
_space_group_symop_operation_xyz
'x,y,z'
'-x,-y,z'
'-x,y,z'
'x,-y,z'
loop_
_atom_site_label
_atom_site_type_symbol
_atom_site_fract_x
_atom_site_fract_y
_atom_site_fract_z
_atom_site_occupancy
Fe1 Fe 0.0000 0.0000 0.0000 1
Fe2 Fe 0.0000 0.5000 0.2722 1
Os1 Os 0.5000 0.5000 0.7869 1
Se1 Se 0.5000 0.0000 0.4539 1
# Crystal system = orthorhombic
# Formation energy (no corrections) = 34.5 kJ per mole of atoms

# 9
# MnNiHg2 | Alexandria | SCAN | single point on PBEsol structure
data_MnNiHg2
_chemical_formula_sum 'Mn4 Ni4 Hg8'
_cell_length_a 6.3771
_cell_length_b 6.3771
_cell_length_c 6.3771
_cell_angle_alpha 90.00
_cell_angle_beta 90.00
_cell_angle_gamma 90.00
_space_group_name_H-M_alt 'F -4 3 m'
_space_group_IT_number 216
_space_group_name_Hall 'F -4 2 3'
loop_
_atom_site_label
_atom_site_type_symbol
_atom_site_fract_x
_atom_site_fract_y
_atom_site_fract_z
_atom_site_occupancy
Mn1 Mn 0.0000 0.0000 0.0000 1
Ni1 Ni 0.2500 0.2500 0.7500 1
Hg1 Hg 0.0000 0.0000 0.5000 1
Hg2 Hg 0.2500 0.2500 0.2500 1
# Crystal system = cubic
# Relative energy among the computed polymorphs = 0.21 eV per formula unit

# 10
# CaZn2Cr | Alexandria | SCAN | single point on PBEsol structure
data_CaZn2Cr
_chemical_formula_sum 'Ca1 Zn2 Cr1'
_cell_length_a 3.2387
_cell_length_b 3.2387
_cell_length_c 6.7131
_cell_angle_alpha 90.00
_cell_angle_beta 90.00
_cell_angle_gamma 90.00
_space_group_name_H-M_alt 'P 4/m m m'
_space_group_IT_number 123
_space_group_name_Hall '-P 4 2'
loop_
_atom_site_label
_atom_site_type_symbol
_atom_site_fract_x
_atom_site_fract_y
_atom_site_fract_z
_atom_site_occupancy
Ca1 Ca 0.0000 0.0000 0.0000 1
Zn1 Zn 0.5000 0.5000 0.3064 1
Cr1 Cr 0.0000 0.0000 0.5000 1
# Crystal system = tetragonal
# Uncorrected energy = -55.26 eV/f.u.

# 11
# BaReHg2 | Alexandria | SCAN | single point on PBEsol structure
data_BaReHg2
_chemical_formula_sum 'Ba1 Re1 Hg2'
_cell_length_a 3.6583
_cell_length_b 3.6583
_cell_length_c 7.5204
_cell_angle_alpha 90.00
_cell_angle_beta 90.00
_cell_angle_gamma 90.00
_space_group_name_H-M_alt 'P 4 m m'
_space_group_IT_number 99
loop_
_space_group_symop_operation_xyz
'x,y,z'
'-y,x,z'
'-x,-y,z'
'y,-x,z'
'-x,y,z'
'y,x,z'
'x,-y,z'
'-y,-x,z'
loop_
_atom_site_label
_atom_site_type_symbol
_atom_site_fract_x
_atom_site_fract_y
_atom_site_fract_z
_atom_site_occupancy
Ba1 Ba 0.0000 0.0000 0.0000 1
Re1 Re 0.5000 0.5000 0.6819 1
Hg1 Hg 0.0000 0.0000 0.5702 1
Hg2 Hg 0.5000 0.5000 0.3154 1
# Crystal system = tetragonal
# Uncorrected energy = -244.43 eV/f.u.

# 12
# RbNa3 | Alexandria | SCAN | single point on PBEsol structure
data_RbNa3
_chemical_formula_sum 'Rb2 Na6'
_cell_length_a 8.4799
_cell_length_b 8.4799
_cell_length_c 6.2280
_cell_angle_alpha 90.00
_cell_angle_beta 90.00
_cell_angle_gamma 120.00
_space_group_name_H-M_alt 'P 63/m m c'
_space_group_IT_number 194
_space_group_name_Hall '-P 6c 2c'
loop_
_atom_site_label
_atom_site_type_symbol
_atom_site_fract_x
_atom_site_fract_y
_atom_site_fract_z
_atom_site_occupancy
Rb1 Rb 0.3333 0.6667 0.2500 1
Na1 Na 0.1454 0.2907 0.7500 1
# Crystal system = hexagonal
# Uncorrected energy = -33.22 eV/f.u.

| no. | magnetization (μB/f.u.) |
| --- | --- |
| 1 | 0.0 |
| 2 | 0.0 |
| 3 | 0.0 |
| 4 | 2.0 |
| 5 | 0.0 |
| 6 | 0.0 |
| 7 | 0.0 |
| 8 | 5.6 |
| 9 | 4.4 |
| 10 | 3.3 |
| 11 | 0.0 |
| 12 | 0.0 |